1.
This record from the Alexandria database describes an optimized crystal structure of NdZn4Au12. The functional is PBE.

- Total magnetization: 0.00 μB/cell
- E_form: -0.02 eV/atom

```
NdZn4Au12
1.0
7.743 0.000 0.000
-2.581 7.301 0.000
-2.581 -3.650 6.322
Nd Zn Au
1 4 12
direct
0.000 0.000 0.000
0.000 0.500 0.000
0.500 0.000 0.000
0.500 0.500 0.500
0.000 0.000 0.500
0.846 0.343 0.189
0.343 0.498 0.154
0.811 0.154 0.657
0.343 0.189 0.846
0.189 0.846 0.343
0.657 0.502 0.846
0.498 0.154 0.343
0.502 0.846 0.657
0.657 0.811 0.154
0.846 0.657 0.502
0.154 0.343 0.498
0.154 0.657 0.811
```


2.
This record from the Alexandria database describes an optimized crystal structure of NdAs2Pt5. The functional is PBE.

- Total magnetization: 0.00 μB/cell
- E_form: -0.57 eV/atom

```
NdAs2Pt5
1.0
-2.958 1.855 2.230
-3.690 -4.562 2.748
1.278 -0.898 6.288
Nd As Pt
1 2 5
direct
0.000 0.000 0.000
0.754 0.746 0.746
0.246 0.254 0.254
0.000 0.500 0.500
0.639 0.567 0.155
0.361 0.433 0.845
0.361 0.845 0.433
0.639 0.155 0.567
```